(1)
An optimized crystal structure of CePa2S5, computed with PBE-GGA.

Calculated values
As for the crystal system: orthorhombic. The total energy is -237.36 eV per cell. For the size of the total moment, the calculation gives 0.4062 μB/atom. The formation energy (no corrections) is -1.72 eV/atom.

a = 11.9812 Å, b = 7.8566 Å, c = 7.3714 Å
α = 90.00°, β = 90.00°, γ = 90.00°
Last column: nearest neighbours and their distance in Å.
Space group Pnma (No. 62)
One atom of each set of equivalent atoms:
Ce1 0.0049 0.2500 0.0820  7 S 2.70-2.91
Pa1 0.1797 0.0003 0.5139  8 S 2.75-3.00
S1 0.0006 0.2500 0.4723  1 Ce 2.88, 4 Pa 2.92
S2 0.1082 0.5454 0.1621  2 Ce 2.70-2.77, 2 Pa 2.75-2.79
S3 0.1870 0.2500 0.8215  4 Pa 2.90-3.00, 1 Ce 2.91, 2 S 3.16
S4 0.2184 0.7500 0.7911  4 Pa 2.83-2.87, 1 Ce 2.83

(2)
An optimized crystal structure of Ce2PaS4, computed with PBE-GGA.

Calculated values
As for the crystal system: orthorhombic. The total energy is -201.41 eV per cell. For the size of the total moment, the calculation gives 0.5018 μB/atom. The formation energy (no corrections) is -1.78 eV/atom.

a = 3.8715 Å, b = 13.3967 Å, c = 13.0710 Å
α = 90.00°, β = 90.00°, γ = 90.00°
Last column: nearest neighbours and their distance in Å.
Space group Cmcm (No. 63)
One atom of each set of equivalent atoms:
Ce1 0.0000 0.1350 0.0688  6 S 2.80-2.85
Pa1 0.0000 0.3754 0.2500  6 S 2.76-2.82
S1 0.0000 0.0223 0.2500  2 Pa 2.76, 2 Ce 2.81
S2 0.0000 0.2230 0.6299  2 Pa 2.82, 3 Ce 2.83-2.85, 1 S 3.14
S3 0.0000 0.5000 0.0000  4 Ce 2.80

(3)
An optimized crystal structure of Ce2PaS6, computed with PBE-GGA.

Calculated values
As for the crystal system: orthorhombic. The total energy is -124.60 eV per cell. For the size of the total moment, the calculation gives 0.1238 μB/atom. The formation energy (no corrections) is -1.80 eV/atom. The excess energy over the best structure of this formula in the dataset comes out at 0.0 kJ/mol of atoms.

a = 4.6614 Å, b = 6.5766 Å, c = 13.7988 Å
α = 90.00°, β = 90.00°, γ = 90.00°
Last column: nearest neighbours and their distance in Å.
Space group Immm (No. 71)
One atom of each set of equivalent atoms:
Ce1 0.0000 0.0000 0.1672  8 S 2.87-2.88
Pa1 0.0000 0.0000 0.5000  8 S 2.75-2.81
S1 0.0000 0.2461 0.3386  1 Pa 2.75, 3 Ce 2.87
S2 0.0000 0.2624 0.0000  2 Pa 2.81, 2 Ce 2.88, 1 S 3.12

- Look up the size of the total moment of the first one.
  0.4062 μB/atom

- What is the size of the total moment in the second record?
  0.5018 μB/atom

- What is the size of the total moment in the second record?
  0.5018 μB/atom